# 1
First-principles (GGA-PBE) data for an optimized crystal structure of PmEuLuSc, as listed in Alexandria via LeMat-Bulk.

a = 7.9416 Å, b = 7.9416 Å, c = 7.9416 Å
α = 90.00°, β = 90.00°, γ = 90.00°
Sites, in units of the cell vectors:
Pm  0.0000  0.0000  0.0000
Pm  0.0000  0.5000  0.5000
Pm  0.5000  0.0000  0.5000
Pm  0.5000  0.5000  0.0000
Eu  0.0000  0.0000  0.5000
Eu  0.0000  0.5000  0.0000
Eu  0.5000  0.0000  0.0000
Eu  0.5000  0.5000  0.5000
Lu  0.2500  0.2500  0.2500
Lu  0.2500  0.7500  0.7500
Lu  0.7500  0.2500  0.7500
Lu  0.7500  0.7500  0.2500
Sc  0.2500  0.2500  0.7500
Sc  0.2500  0.7500  0.2500
Sc  0.7500  0.2500  0.2500
Sc  0.7500  0.7500  0.7500

**Electronic total energy**: -6.32 eV per atom
**ΔE_f**: 0.15 eV/atom

---

# 2
First-principles (GGA-PBE) data for an optimized crystal structure of PmEuLuTl, as listed in Alexandria via LeMat-Bulk.

a = 7.9008 Å, b = 7.9008 Å, c = 7.9008 Å
α = 90.00°, β = 90.00°, γ = 90.00°
Sites, in units of the cell vectors:
Pm  0.0000  0.0000  0.0000
Pm  0.0000  0.5000  0.5000
Pm  0.5000  0.0000  0.5000
Pm  0.5000  0.5000  0.0000
Eu  0.0000  0.0000  0.5000
Eu  0.0000  0.5000  0.0000
Eu  0.5000  0.0000  0.0000
Eu  0.5000  0.5000  0.5000
Lu  0.2500  0.2500  0.7500
Lu  0.2500  0.7500  0.2500
Lu  0.7500  0.2500  0.2500
Lu  0.7500  0.7500  0.7500
Tl  0.2500  0.2500  0.2500
Tl  0.2500  0.7500  0.7500
Tl  0.7500  0.2500  0.7500
Tl  0.7500  0.7500  0.2500

**Electronic total energy**: -5.53 eV per atom
**ΔE_f**: -0.05 eV/atom

---

# 3
First-principles (GGA-PBE) data for an optimized crystal structure of Pr2EuLu, as listed in Alexandria via LeMat-Bulk.

a = 3.6955 Å, b = 3.6955 Å, c = 10.3626 Å
α = 90.00°, β = 90.00°, γ = 90.00°
Sites, in units of the cell vectors:
Pr  0.0000  0.0000  0.2329
Pr  0.0000  0.0000  0.7671
Eu  0.5000  0.5000  0.5000
Lu  0.5000  0.5000  0.0000

**Electronic total energy**: -6.05 eV per atom
**Offset from the most stable computed form**: 0 meV per atom
**ΔE_f**: 0.03 eV/atom

---

# 4
First-principles (GGA-PBE) data for an optimized crystal structure of PrEu2Lu, as listed in Alexandria via LeMat-Bulk.

a = 8.3287 Å, b = 8.3287 Å, c = 8.3287 Å
α = 90.00°, β = 90.00°, γ = 90.00°
Sites, in units of the cell vectors:
Pr  0.0000  0.0000  0.0000
Pr  0.0000  0.5000  0.5000
Pr  0.5000  0.0000  0.5000
Pr  0.5000  0.5000  0.0000
Eu  0.2500  0.2500  0.2500
Eu  0.2500  0.2500  0.7500
Eu  0.2500  0.7500  0.2500
Eu  0.2500  0.7500  0.7500
Eu  0.7500  0.2500  0.2500
Eu  0.7500  0.2500  0.7500
Eu  0.7500  0.7500  0.2500
Eu  0.7500  0.7500  0.7500
Lu  0.0000  0.0000  0.5000
Lu  0.0000  0.5000  0.0000
Lu  0.5000  0.0000  0.0000
Lu  0.5000  0.5000  0.5000

**Electronic total energy**: -7.31 eV per atom
**Offset from the most stable computed form**: 46 meV per atom
**ΔE_f**: 0.15 eV/atom

---

# 5
First-principles (GGA-PBE) data for an optimized crystal structure of PrEuLu4, as listed in Alexandria via LeMat-Bulk.

a = 6.6520 Å, b = 6.6520 Å, c = 6.6520 Å
α = 60.00°, β = 60.00°, γ = 60.00°
Sites, in units of the cell vectors:
Pr  0.0000  0.0000  0.0000
Eu  0.2500  0.2500  0.2500
Lu  0.1238  0.6254  0.6254
Lu  0.6254  0.1238  0.6254
Lu  0.6254  0.6254  0.1238
Lu  0.6254  0.6254  0.6254

**Electronic total energy**: -5.26 eV per atom
**ΔE_f**: 0.26 eV/atom

---

# 6
First-principles (GGA-PBE) data for an optimized crystal structure of PrEuLu2, as listed in Alexandria via LeMat-Bulk.

a = 3.6506 Å, b = 3.6506 Å, c = 10.0829 Å
α = 90.00°, β = 90.00°, γ = 90.00°
Sites, in units of the cell vectors:
Pr  0.0000  0.0000  0.0000
Eu  0.0000  0.0000  0.5000
Lu  0.5000  0.5000  0.2392
Lu  0.5000  0.5000  0.7608

**Electronic total energy**: -5.94 eV per atom
**ΔE_f**: 0.08 eV/atom